1.
## MnHgP2 (GGA-PBEsol)

Data for an optimized crystal structure of MnHgP2.

Cell lengths 5.510, 5.510, 6.480 Å; angles 115.16, 115.16, 90.00 degrees
Site moments in Bohr magnetons follow the coordinates.
Sites, in units of the cell vectors:
P (0.448, 0.875, 0.250)  -0.01
P (0.802, 0.375, 0.250)  -0.01
P (0.125, 0.198, 0.750)  -0.01
P (0.625, 0.552, 0.750)  -0.01
Mn (0.750, 0.250, 0.500)  0.13
Mn (0.500, 0.500, 0.000)  0.13
Hg (0.250, 0.750, 0.500)  0.00
Hg (0.000, 0.000, 0.000)  0.00

space group = I-42d

=====

2.
## MnHgP2 (GGA-PBEsol)

Data for an optimized crystal structure of MnHgP2.

Cell lengths 3.458, 4.298, 4.298 Å; angles 90.00, 90.00, 90.00 degrees
Site moments in Bohr magnetons follow the coordinates.
Sites, in units of the cell vectors:
Hg (0.500, 0.500, 0.500)  -0.01
Mn (0.500, 0.000, 0.000)  3.52
P (0.000, 0.000, 0.500)  -0.07
P (0.000, 0.500, 0.000)  -0.07

space group = P4/mmm

=====

E_form
In order: 69 186
Unit: kJ/mol of formula units
Mass density
In order: 6.71 8.25
Unit: g cm⁻³